[1]
# CeGaCu2

A relaxed structure of CeGaCu2 (PBE, Alexandria).

**SG**: Pnma, No. 62

Unit cell a=5.3535 b=6.4458 c=8.3724 alpha=90.00 beta=90.00 gamma=90.00
Each line ends with the local moment (μB).
Atoms (fractional coordinates):
Ce (0.3427, 0.2500, 0.0680)  0.46
Ce (0.8427, 0.7500, 0.4320)  0.46
Ce (0.6573, 0.7500, 0.9320)  0.46
Ce (0.1573, 0.2500, 0.5680)  0.46
Ga (0.6516, 0.2500, 0.3946)  -0.01
Ga (0.1516, 0.7500, 0.1054)  -0.01
Ga (0.3484, 0.7500, 0.6054)  -0.01
Ga (0.8484, 0.2500, 0.8946)  -0.01
Cu (0.8683, 0.0542, 0.1775)  0.00
Cu (0.3683, 0.9458, 0.3225)  0.00
Cu (0.1317, 0.5542, 0.8225)  0.00
Cu (0.6317, 0.4458, 0.6775)  0.00
Cu (0.1317, 0.9458, 0.8225)  0.00
Cu (0.6317, 0.0542, 0.6775)  0.00
Cu (0.8683, 0.4458, 0.1775)  0.00
Cu (0.3683, 0.5542, 0.3225)  0.00

***

[2]
# Ce2Ga8Cu

A relaxed structure of Ce2Ga8Cu (PBE, Alexandria).

**SG**: P4/mmm, No. 123

Unit cell a=4.3676 b=4.3676 c=11.2414 alpha=90.00 beta=90.00 gamma=90.00
Each line ends with the local moment (μB).
Atoms (fractional coordinates):
Ce (0.0000, 0.0000, 0.3072)  0.30
Ce (0.0000, 0.0000, 0.6928)  0.30
Ga (0.0000, 0.5000, 0.5000)  0.02
Ga (0.5000, 0.0000, 0.5000)  0.02
Ga (0.5000, 0.5000, 0.3054)  0.01
Ga (0.5000, 0.5000, 0.6946)  0.01
Ga (0.0000, 0.5000, 0.1215)  0.00
Ga (0.5000, 0.0000, 0.1215)  0.00
Ga (0.0000, 0.5000, 0.8785)  0.00
Ga (0.5000, 0.0000, 0.8785)  0.00
Cu (0.0000, 0.0000, 0.0000)  0.00

***

[3]
# Ce4Ga16Cu3

A relaxed structure of Ce4Ga16Cu3 (PBE, Alexandria).

**SG**: P4/mmm, No. 123

Unit cell a=6.2387 b=6.2387 c=11.2055 alpha=90.00 beta=90.00 gamma=90.00
Atoms (fractional coordinates):
Ce (0.5000, 0.0000, 0.8089)
Ce (0.0000, 0.5000, 0.1911)
Ce (0.0000, 0.5000, 0.8089)
Ce (0.5000, 0.0000, 0.1911)
Ga (0.0000, 0.0000, 0.7697)
Ga (0.2856, 0.2856, 0.0000)
Ga (0.5000, 0.5000, 0.8001)
Ga (0.7144, 0.2856, 0.0000)
Ga (0.5000, 0.5000, 0.1999)
Ga (0.7144, 0.7144, 0.0000)
Ga (0.0000, 0.0000, 0.2303)
Ga (0.7443, 0.7443, 0.6197)
Ga (0.7443, 0.2557, 0.3803)
Ga (0.2557, 0.2557, 0.6197)
Ga (0.2557, 0.7443, 0.3803)
Ga (0.2856, 0.7144, 0.0000)
Ga (0.7443, 0.7443, 0.3803)
Ga (0.7443, 0.2557, 0.6197)
Ga (0.2557, 0.2557, 0.3803)
Ga (0.2557, 0.7443, 0.6197)
Cu (0.0000, 0.5000, 0.5000)
Cu (0.0000, 0.0000, 0.0000)
Cu (0.5000, 0.0000, 0.5000)

***

[4]
# Ce2Ga5Cu3

A relaxed structure of Ce2Ga5Cu3 (PBE, Alexandria).

**Polymorph energy (0 for the lowest one)**: 0.031 eV per atom
**SG**: P-4m2, No. 115

Unit cell a=4.2277 b=4.2277 c=10.2200 alpha=90.00 beta=90.00 gamma=90.00
Each line ends with the local moment (μB).
Atoms (fractional coordinates):
Ce (0.5000, 0.0000, 0.7426)  0.48
Ce (0.0000, 0.5000, 0.2574)  0.48
Ga (0.0000, 0.5000, 0.8628)  -0.01
Ga (0.5000, 0.0000, 0.3793)  -0.01
Ga (0.5000, 0.0000, 0.1372)  -0.01
Ga (0.0000, 0.5000, 0.6207)  -0.01
Ga (0.5000, 0.5000, 0.0000)  -0.01
Cu (0.0000, 0.0000, 0.5000)  0.00
Cu (0.0000, 0.0000, 0.0000)  -0.01
Cu (0.5000, 0.5000, 0.5000)  -0.01

***

| no. | Fermi-level density of states (states/eV per cell) | energy of formation (eV/atom) |
| --- | --- | --- |
| 1 | 20.1 | -0.278 |
| 2 | 9.5 | -0.413 |
| 3 | 20.2 | -0.411 |
| 4 | 12.0 | -0.425 |